Density functional theory data (PBE) for a geometry-optimized KSeI structure.

Values from the calculation:
Formation energy from raw total energies   -0.81 eV/atom
Total magnetization   0.00 μB/f.u.

Lattice parameters (Å, degrees): 4.619 6.198 9.614 79.12 77.10 89.70
Space group P1 (No. 1)
Unique sites:
K1 0.000 0.000 0.000 [1 per cell]
K2 0.252 0.376 0.453 [1 per cell]
Se1 0.178 0.831 0.607 [1 per cell]
Se2 0.617 0.791 0.721 [1 per cell]
I1 0.612 0.289 0.751 [1 per cell]
I2 0.880 0.453 0.176 [1 per cell]